Record 1
The following is a DFT calculation (GGA-PBE) of a geometry-optimized Pr2AgSe4 structure.

Lattice parameters (Å, degrees): 7.418 5.897 8.586 90.00 106.31 90.00
Fractional positions:
Pr 0.226 0.250 0.425
Pr 0.243 0.250 0.938
Pr 0.757 0.750 0.062
Pr 0.774 0.750 0.575
Ag 0.234 0.750 0.678
Ag 0.766 0.250 0.322
Se 0.058 0.750 0.375
Se 0.068 0.750 0.905
Se 0.469 0.516 0.243
Se 0.469 0.984 0.243
Se 0.531 0.016 0.757
Se 0.531 0.484 0.757
Se 0.932 0.250 0.095
Se 0.942 0.250 0.625

Calculated values
V: 360 Å³ per cell



Record 2
The following is a DFT calculation (GGA-PBE) of a geometry-optimized PrAg5Se4 structure.

Lattice parameters (Å, degrees): 8.535 8.535 8.535 150.41 125.44 63.29
Fractional positions:
Pr 0.000 0.000 0.000
Ag 0.030 0.318 0.712
Ag 0.394 0.682 0.712
Ag 0.500 0.000 0.500
Ag 0.606 0.318 0.288
Ag 0.970 0.682 0.288
Se 0.212 0.212 0.000
Se 0.270 0.500 0.770
Se 0.730 0.500 0.230
Se 0.788 0.788 0.000

Calculated values
V: 248 Å³ per cell



Record 3
The following is a DFT calculation (GGA-PBE) of a geometry-optimized Pr5AgSe8 structure.

Lattice parameters (Å, degrees): 7.790 7.790 7.790 109.88 109.88 108.66
Fractional positions:
Pr 0.000 0.000 0.000
Pr 0.252 0.133 0.622
Pr 0.370 0.748 0.881
Pr 0.511 0.630 0.378
Pr 0.867 0.489 0.119
Ag 0.750 0.250 0.500
Se 0.114 0.365 0.889
Se 0.141 0.383 0.397
Se 0.255 0.859 0.242
Se 0.476 0.226 0.111
Se 0.617 0.014 0.758
Se 0.635 0.524 0.750
Se 0.774 0.886 0.250
Se 0.986 0.745 0.603

Calculated values
V: 364 Å³ per cell



Record 4
The following is a DFT calculation (GGA-PBE) of a geometry-optimized Pr4AgSe3 structure.

Lattice parameters (Å, degrees): 7.457 7.457 4.282 90.00 90.00 109.46
Fractional positions:
Pr 0.243 0.243 0.500
Pr 0.245 0.755 0.000
Pr 0.755 0.245 0.000
Pr 0.757 0.757 0.500
Ag 0.500 0.500 0.000
Se 0.000 0.000 0.000
Se 0.000 0.500 0.500
Se 0.500 0.000 0.500

Calculated values
V: 224 Å³ per cell



Record 5
The following is a DFT calculation (GGA-PBE) of a geometry-optimized PrSiAg2Se4 structure.

Lattice parameters (Å, degrees): 8.144 8.144 8.144 123.38 117.93 88.94
Fractional positions:
Pr 0.000 0.000 0.000
Pr 0.500 0.000 0.500
Si 0.500 0.000 0.000
Si 0.500 0.500 0.500
Ag 0.000 0.000 0.500
Ag 0.000 0.500 0.000
Ag 0.000 0.500 0.500
Ag 0.500 0.500 0.000
Se 0.271 0.284 0.512
Se 0.271 0.759 0.988
Se 0.272 0.745 0.526
Se 0.281 0.255 0.026
Se 0.719 0.745 0.974
Se 0.728 0.255 0.474
Se 0.729 0.241 0.012
Se 0.729 0.716 0.488

Calculated values
V: 377 Å³ per cell



Record 6
The following is a DFT calculation (GGA-PBE) of a geometry-optimized Pr3SiAgSe7 structure.

Lattice parameters (Å, degrees): 10.826 10.826 6.097 90.00 90.00 120.00
Fractional positions:
Pr 0.125 0.357 0.000
Pr 0.232 0.875 0.000
Pr 0.357 0.232 0.500
Pr 0.643 0.768 0.000
Pr 0.768 0.125 0.500
Pr 0.875 0.643 0.500
Si 0.333 0.667 0.589
Si 0.667 0.333 0.089
Ag 0.000 0.000 0.457
Ag 0.000 0.000 0.957
Se 0.094 0.270 0.485
Se 0.110 0.588 0.740
Se 0.176 0.906 0.485
Se 0.270 0.176 0.985
Se 0.333 0.667 0.216
Se 0.412 0.522 0.740
Se 0.478 0.890 0.740
Se 0.522 0.110 0.240
Se 0.588 0.478 0.240
Se 0.667 0.333 0.716
Se 0.730 0.824 0.485
Se 0.824 0.094 0.985
Se 0.890 0.412 0.240
Se 0.906 0.730 0.985

Calculated values
V: 619 Å³ per cell



Record 7
The following is a DFT calculation (GGA-PBE) of a geometry-optimized Pr2SmAgSe5 structure.

Lattice parameters (Å, degrees): 9.106 9.106 12.621 90.00 90.00 153.35
Fractional positions:
Pr 0.110 0.890 0.500
Pr 0.124 0.876 0.121
Pr 0.876 0.124 0.621
Pr 0.890 0.110 0.000
Sm 0.196 0.804 0.822
Sm 0.804 0.196 0.322
Ag 0.444 0.556 0.275
Ag 0.556 0.444 0.775
Se 0.045 0.955 0.894
Se 0.287 0.713 0.484
Se 0.308 0.692 0.157
Se 0.361 0.639 0.815
Se 0.498 0.502 0.588
Se 0.502 0.498 0.088
Se 0.639 0.361 0.315
Se 0.692 0.308 0.657
Se 0.713 0.287 0.984
Se 0.955 0.045 0.394

Calculated values
V: 469 Å³ per cell



Record 8
The following is a DFT calculation (GGA-PBE) of a geometry-optimized PrAgSnSe3 structure.

Lattice parameters (Å, degrees): 8.737 4.106 9.312 90.00 100.15 90.00
Fractional positions:
Pr 0.168 0.250 0.225
Pr 0.832 0.750 0.775
Ag 0.092 0.250 0.583
Ag 0.908 0.750 0.417
Sn 0.341 0.750 0.837
Sn 0.659 0.250 0.163
Se 0.092 0.250 0.875
Se 0.240 0.750 0.470
Se 0.400 0.750 0.144
Se 0.600 0.250 0.856
Se 0.760 0.250 0.530
Se 0.908 0.750 0.125

Calculated values
V: 329 Å³ per cell



Record 9
The following is a DFT calculation (GGA-PBE) of a geometry-optimized Pr4AgTe2Se structure.

Lattice parameters (Å, degrees): 7.728 4.365 7.731 90.00 108.90 90.00
Fractional positions:
Pr 0.233 0.000 0.237
Pr 0.237 0.500 0.748
Pr 0.763 0.500 0.252
Pr 0.767 0.000 0.763
Ag 0.000 0.000 0.500
Te 0.500 0.000 0.000
Te 0.500 0.500 0.500
Se 0.000 0.500 0.000

Calculated values
V: 247 Å³ per cell



Record 10
The following is a DFT calculation (GGA-PBE) of a geometry-optimized Pr2TmAgSe5 structure.

Lattice parameters (Å, degrees): 9.036 9.036 12.529 90.00 90.00 153.39
Fractional positions:
Pr 0.110 0.890 0.500
Pr 0.126 0.874 0.120
Pr 0.874 0.126 0.620
Pr 0.890 0.110 0.000
Tm 0.196 0.804 0.823
Tm 0.804 0.196 0.323
Ag 0.442 0.558 0.272
Ag 0.558 0.442 0.772
Se 0.047 0.953 0.892
Se 0.286 0.714 0.479
Se 0.305 0.695 0.162
Se 0.357 0.643 0.814
Se 0.498 0.502 0.586
Se 0.502 0.498 0.086
Se 0.643 0.357 0.314
Se 0.695 0.305 0.662
Se 0.714 0.286 0.979
Se 0.953 0.047 0.392

Calculated values
V: 458 Å³ per cell



Record 11
The following is a DFT calculation (GGA-PBE) of a geometry-optimized Pr2Si2Ag3 structure.

Lattice parameters (Å, degrees): 9.920 9.920 4.201 90.00 90.00 157.76
Fractional positions:
Pr 0.164 0.836 0.000
Pr 0.836 0.164 0.000
Si 0.286 0.714 0.500
Si 0.714 0.286 0.500
Ag 0.000 0.000 0.000
Ag 0.430 0.570 0.500
Ag 0.570 0.430 0.500

Calculated values
V: 156 Å³ per cell



Record 12
The following is a DFT calculation (GGA-PBE) of a geometry-optimized PrSi2Ag6 structure.

Lattice parameters (Å, degrees): 4.281 4.281 9.288 90.00 90.00 90.00
Fractional positions:
Pr 0.000 0.000 0.000
Si 0.500 0.500 0.125
Si 0.500 0.500 0.875
Ag 0.000 0.000 0.500
Ag 0.000 0.500 0.283
Ag 0.000 0.500 0.717
Ag 0.500 0.000 0.283
Ag 0.500 0.000 0.717
Ag 0.500 0.500 0.500

Calculated values
V: 170 Å³ per cell



Calculated values (eV/atom) of formation energy without anion corrections for the records, taken in order: -1.31 -0.49 -1.69 -1.42 -0.56 -1.35 -1.55 -0.93 -1.23 -1.55 -0.36 -0.20.